The following is a DFT calculation (PBE) of crystalline SmPPt3 at its relaxed geometry.

abc: 6.1974 6.1974 6.1974
angles: 141.90 141.90 54.99
With the nearest neighbours (Å) after each atom.
Sites, in units of the cell vectors:
Sm  0.0000  0.0000  0.0000  8 Pt 3.00-3.31, 4 P 3.17
P  0.6233  0.6233  0.0000  5 Pt 2.26-2.39
Pt  0.2384  0.7384  0.5000  2 P 2.39
Pt  0.4175  0.4175  0.0000  1 P 2.26
Pt  0.7384  0.2384  0.5000  2 P 2.39

Properties
The calculation puts the formation energy at -1010 meV/atom.

***

The following is a DFT calculation (PBE) of crystalline SmSi2Rh5 at its relaxed geometry.

abc: 6.2810 6.2810 6.2810
angles: 144.00 115.59 76.06
With the nearest neighbours (Å) after each atom.
Sites, in units of the cell vectors:
Sm  0.0000  0.0000  0.0000  10 Rh 3.14-3.35, 4 Si 3.27
Si  0.2656  0.7656  0.5000  7 Rh 2.32-2.52
Si  0.7344  0.2344  0.5000  7 Rh 2.32-2.52
Rh  0.1515  0.3538  0.7977  3 Si 2.32-2.52
Rh  0.4439  0.6462  0.7977  3 Si 2.32-2.52
Rh  0.5000  0.0000  0.5000  2 Si 2.32
Rh  0.5561  0.3538  0.2023  3 Si 2.32-2.52
Rh  0.8485  0.6462  0.2023  3 Si 2.32-2.52

Properties
For the formation energy from raw total energies, the calculation gives -609 kJ/mol of formula units.

***

The following is a DFT calculation (PBE) of crystalline Tc2AsS at its relaxed geometry.

abc: 4.2899 4.2899 4.2899
angles: 60.00 60.00 60.00
With the nearest neighbours (Å) after each atom.
Sites, in units of the cell vectors:
Tc  0.2500  0.2500  0.2500  4 S 2.63, 4 As 2.63
Tc  0.7500  0.7500  0.7500  4 S 2.63, 4 As 2.63
As  0.0000  0.0000  0.0000  8 Tc 2.63
S  0.5000  0.5000  0.5000  8 Tc 2.63

Properties
As for the energy above the lowest structure with this stoichiometry: 0 meV/atom. For the formation energy from raw total energies, the calculation gives 7 kJ/mol of formula units.

***

no.,spin magnetization (μB per formula unit),DOS at the Fermi energy (states/eV/atom),raw total energy (eV/cell)
1,0.000,0.534,-33.30
2,0.000,0.643,-58.63
3,0.000,0.664,-29.44